Record 1
This record from the Alexandria database describes PaAlPdPt after structural relaxation. The functional is PBE.

Cell lengths 4.761, 4.761, 4.761 Å; angles 60.00, 60.00, 60.00 degrees
Element x y z (fractional)
Pa 0.000 0.000 0.000
Al 0.500 0.500 0.500
Pd 0.250 0.250 0.250
Pt 0.750 0.750 0.750

Properties
VASP energy = -6.857 eV per atom
Energy relative to the elements = -739 meV per atom
Density of states at the Fermi level = 1.3658 states/eV/atom
V = 19.080 Å³ per atom
Crystal system = cubic
Total magnetization = 0.0 μB per formula unit

***

Record 2
This record from the Alexandria database describes K2Ga4Pt3 after structural relaxation. The functional is PBE.

Cell lengths 8.176, 7.079, 5.831 Å; angles 77.92, 57.86, 44.22 degrees
Element x y z (fractional)
K 0.128 0.128 0.872
K 0.872 0.872 0.128
Ga 0.167 0.523 0.477
Ga 0.477 0.833 0.167
Ga 0.523 0.167 0.833
Ga 0.833 0.477 0.523
Pt 0.000 0.000 0.500
Pt 0.500 0.500 0.000
Pt 0.500 0.500 0.500

Properties
VASP energy = -3.914 eV per atom
E above lowest polymorph = 124 meV per atom
Energy relative to the elements = -312 meV per atom
Density of states at the Fermi level = 0.5987 states/eV/atom
V = 21.184 Å³ per atom
Crystal system = orthorhombic
Total magnetization = 0.0 μB per formula unit

***

Record 3
This record from the Alexandria database describes TlCrCo4 after structural relaxation. The functional is PBE.

Cell lengths 4.845, 4.845, 4.845 Å; angles 60.00, 60.00, 60.00 degrees
Element x y z (fractional)
Tl 0.000 0.000 0.000
Cr 0.750 0.750 0.750
Co 0.376 0.376 0.376
Co 0.376 0.376 0.873
Co 0.376 0.873 0.376
Co 0.873 0.376 0.376

Properties
VASP energy = -6.378 eV per atom
Energy relative to the elements = 357 meV per atom
Density of states at the Fermi level = 1.4025 states/eV/atom
V = 13.402 Å³ per atom
Crystal system = cubic
Total magnetization = 9.4 μB per formula unit

***

Record 4
This record from the Alexandria database describes Nb2PbF11 after structural relaxation. The functional is PBE.

Cell lengths 8.621, 8.621, 8.621 Å; angles 126.07, 107.42, 96.43 degrees
Element x y z (fractional)
Nb 0.179 0.130 0.310
Nb 0.321 0.630 0.951
Nb 0.679 0.370 0.049
Nb 0.821 0.870 0.690
Pb 0.250 0.750 0.500
Pb 0.750 0.250 0.500
F 0.000 0.000 0.000
F 0.043 0.866 0.670
F 0.065 0.472 0.793
F 0.179 0.972 0.406
F 0.196 0.373 0.330
F 0.217 0.866 0.084
F 0.283 0.366 0.649
F 0.304 0.634 0.177
F 0.321 0.727 0.793
F 0.435 0.227 0.406
F 0.457 0.127 0.823
F 0.500 0.500 0.000
F 0.543 0.873 0.177
F 0.565 0.773 0.594
F 0.679 0.273 0.207
F 0.696 0.366 0.823
F 0.717 0.634 0.351
F 0.783 0.134 0.916
F 0.804 0.627 0.670
F 0.821 0.028 0.594
F 0.935 0.528 0.207
F 0.957 0.134 0.330

Properties
Formation energy without anion corrections = -65.76 kcal/mol of atoms
VASP energy = -6.025 eV per atom
Density of states at the Fermi level = 0.2336 states/eV/atom
V = 16.370 Å³ per atom
Crystal system = orthorhombic
Total magnetization = 1.0 μB per formula unit

***

Record 5
This record from the Alexandria database describes BaPbF3 after structural relaxation. The functional is PBE.

Cell lengths 5.070, 5.070, 5.070 Å; angles 90.00, 90.00, 90.00 degrees
Element x y z (fractional)
Ba 0.000 0.000 0.000
Pb 0.500 0.500 0.500
F 0.000 0.000 0.500
F 0.000 0.500 0.000
F 0.500 0.000 0.000

Properties
Formation energy without anion corrections = -55.96 kcal/mol of atoms
VASP energy = -4.676 eV per atom
E above lowest polymorph = 0 meV per atom
Density of states at the Fermi level = 0.5069 states/eV/atom
V = 26.069 Å³ per atom
Crystal system = cubic
Total magnetization = 0.9 μB per formula unit

***

Record 6
This record from the Alexandria database describes Dy4Ho3PaAs8 after structural relaxation. The functional is PBE.

Cell lengths 8.208, 8.208, 8.208 Å; angles 59.98, 59.98, 59.98 degrees
Element x y z (fractional)
Dy 0.000 0.000 0.000
Dy 0.000 0.500 0.500
Dy 0.500 0.000 0.500
Dy 0.500 0.500 0.000
Ho 0.000 0.000 0.500
Ho 0.000 0.500 0.000
Ho 0.500 0.000 0.000
Pa 0.500 0.500 0.500
As 0.250 0.250 0.250
As 0.252 0.252 0.748
As 0.252 0.748 0.252
As 0.252 0.748 0.748
As 0.748 0.252 0.252
As 0.748 0.252 0.748
As 0.748 0.748 0.252
As 0.750 0.750 0.750

Properties
VASP energy = -6.409 eV per atom
Energy relative to the elements = -1482 meV per atom
Density of states at the Fermi level = 0.3325 states/eV/atom
V = 24.427 Å³ per atom
Crystal system = trigonal
Total magnetization = 0.0 μB per formula unit

***

Record 7
This record from the Alexandria database describes Cu8Pt5Au after structural relaxation. The functional is PBE.

Cell lengths 6.488, 6.488, 6.488 Å; angles 114.98, 114.98, 98.94 degrees
Element x y z (fractional)
Cu 0.166 0.426 0.561
Cu 0.282 0.191 0.244
Cu 0.395 0.834 0.260
Cu 0.574 0.135 0.740
Cu 0.809 0.053 0.091
Cu 0.865 0.605 0.439
Cu 0.947 0.038 0.756
Cu 0.962 0.718 0.909
Pt 0.034 0.464 0.128
Pt 0.094 0.966 0.429
Pt 0.335 0.906 0.872
Pt 0.536 0.665 0.571
Pt 0.750 0.250 0.500
Au 0.500 0.500 0.000

Properties
VASP energy = -4.685 eV per atom
Energy relative to the elements = 47 meV per atom
Density of states at the Fermi level = 0.5503 states/eV/atom
V = 14.646 Å³ per atom
Crystal system = tetragonal
Total magnetization = 0.0 μB per formula unit

***

Record 8
This record from the Alexandria database describes CeAlZn2Pd4 after structural relaxation. The functional is PBE.

Cell lengths 8.796, 8.796, 8.796 Å; angles 28.57, 28.57, 28.57 degrees
Element x y z (fractional)
Ce 0.000 0.000 0.000
Al 0.500 0.500 0.500
Zn 0.241 0.241 0.241
Zn 0.759 0.759 0.759
Pd 0.133 0.133 0.133
Pd 0.401 0.401 0.401
Pd 0.599 0.599 0.599
Pd 0.867 0.867 0.867

Properties
VASP energy = -4.787 eV per atom
Energy relative to the elements = -662 meV per atom
Density of states at the Fermi level = 0.9209 states/eV/atom
V = 17.204 Å³ per atom
Crystal system = trigonal
Total magnetization = 0.7 μB per formula unit